1.
A geometry-optimized AlCu2Ag structure, computed with PBE.

```
AlCu2Ag
1.0
3.0312 0.0000 0.0000
0.0000 3.0312 0.0000
0.0000 0.0000 6.1643
Al Cu Ag
1 2 1
direct
0.0000 0.0000 0.0000
0.0000 0.0000 0.4376
0.5000 0.5000 0.2234
0.5000 0.5000 0.7147
```

Calculated values
As for the space group: P4mm, No. 99. The calculated volume is 56.6 Å³/cell.

=====

2.
A geometry-optimized AlCuAg2 structure, computed with PBE.

```
AlCuAg2
1.0
1.4570 0.8412 8.7264
-1.4570 0.8412 8.7264
0.0000 -1.6824 8.7264
Al Cu Ag
1 1 2
direct
0.0000 0.0000 0.0000
0.5000 0.5000 0.5000
0.2490 0.2490 0.2490
0.7510 0.7510 0.7510
```

Calculated values
As for the space group: R-3m, No. 166. The calculated volume is 64.2 Å³/cell.

=====

3.
A geometry-optimized Al2CuAg structure, computed with PBE.

```
Al2CuAg
1.0
2.8233 0.0000 0.0000
0.0000 3.6283 0.0000
0.0000 0.0000 6.0046
Al Cu Ag
2 1 1
direct
0.0000 0.0000 0.2267
0.0000 0.0000 0.7733
0.5000 0.5000 0.0000
0.5000 0.5000 0.5000
```

Calculated values
As for the space group: Pmmm, No. 47. The calculated volume is 61.5 Å³/cell.

=====

4.
A geometry-optimized Al2CuAg structure, computed with PBE.

```
Al2CuAg
1.0
-3.6357 3.6357 2.6321
3.6357 -3.6357 2.6321
3.6357 3.6357 -2.6321
Al Cu Ag
4 2 2
direct
0.0909 0.6250 0.9659
0.3750 0.3409 0.4659
0.6591 0.1250 0.0341
0.8750 0.9091 0.5341
0.0000 0.0000 0.0000
0.7500 0.2500 0.5000
0.2500 0.7500 0.5000
0.5000 0.5000 0.0000
```

Calculated values
As for the space group: I-42d, No. 122. The calculated volume is 139.2 Å³/cell.

=====

5.
A geometry-optimized AlCu3Ag structure, computed with PBE.

```
AlCu3Ag
1.0
4.4735 0.0000 0.0000
0.0000 4.4735 0.0000
0.0000 0.0000 4.4735
Al Cu Ag
1 3 1
direct
0.0000 0.0000 0.0000
0.0000 0.0000 0.5000
0.0000 0.5000 0.0000
0.5000 0.0000 0.0000
0.5000 0.5000 0.5000
```

Calculated values
As for the space group: Pm-3m, No. 221. The calculated volume is 89.5 Å³/cell.

=====

6.
A geometry-optimized AlCu2Ag structure, computed with PBE.

```
AlCu2Ag
1.0
3.0202 0.0000 0.0000
0.0000 3.0202 0.0000
0.0000 0.0000 6.1852
Al Cu Ag
1 2 1
direct
0.0000 0.0000 0.0000
0.5000 0.5000 0.2240
0.5000 0.5000 0.7760
0.0000 0.0000 0.5000
```

Calculated values
As for the space group: P4/mmm, No. 123. The calculated volume is 56.4 Å³/cell.

=====

7.
A geometry-optimized AlCuAg2 structure, computed with PBE.

```
AlCuAg2
1.0
1.5623 -2.3332 0.0000
1.5623 2.3332 0.0000
0.0000 0.0000 8.8676
Al Cu Ag
1 1 2
direct
0.0000 0.0000 0.0000
0.0000 0.0000 0.5000
0.5000 0.5000 0.2541
0.5000 0.5000 0.7459
```

Calculated values
As for the space group: Cmmm, No. 65. The calculated volume is 64.6 Å³/cell.

=====

8.
A geometry-optimized AlCu2Ag structure, computed with PBE.

```
AlCu2Ag
1.0
0.0000 3.0477 3.0477
3.0477 0.0000 3.0477
3.0477 3.0477 0.0000
Al Cu Ag
1 2 1
direct
0.0000 0.0000 0.0000
0.5000 0.5000 0.5000
0.7500 0.7500 0.7500
0.2500 0.2500 0.2500
```

Calculated values
As for the space group: F-43m, No. 216. The calculated volume is 56.6 Å³/cell.

=====

9.
A geometry-optimized Al4Cu15Ag structure, computed with PBE.

```
Al4Cu15Ag
1.0
3.7418 0.0000 0.0000
0.0000 3.7418 0.0000
0.0000 0.0000 18.1396
Al Cu Ag
4 15 1
direct
0.0000 0.0000 0.0987
0.0000 0.0000 0.2969
0.0000 0.0000 0.7031
0.0000 0.0000 0.9013
0.0000 0.5000 0.0000
0.0000 0.5000 0.1973
0.0000 0.5000 0.3938
0.0000 0.5000 0.6062
0.0000 0.5000 0.8027
0.5000 0.0000 0.0000
0.5000 0.0000 0.1973
0.5000 0.0000 0.3938
0.5000 0.0000 0.6062
0.5000 0.0000 0.8027
0.5000 0.5000 0.0987
0.5000 0.5000 0.2954
0.5000 0.5000 0.5000
0.5000 0.5000 0.7046
0.5000 0.5000 0.9013
0.0000 0.0000 0.5000
```

Calculated values
As for the space group: P4/mmm, No. 123. The calculated volume is 254.0 Å³/cell.

=====

10.
A geometry-optimized Al2CuAg structure, computed with PBE.

```
Al2CuAg
1.0
4.4060 -1.4577 0.0000
4.4060 1.4577 0.0000
-0.9328 0.0000 4.7881
Al Cu Ag
2 1 1
direct
0.2427 0.2427 0.2365
0.7573 0.7573 0.7635
0.5000 0.5000 0.0000
0.0000 0.0000 0.5000
```

Calculated values
As for the space group: C2/m, No. 12. The calculated volume is 61.5 Å³/cell.

=====

11.
A geometry-optimized Al2Cu5Ag structure, computed with PBE.

```
Al2Cu5Ag
1.0
5.3434 0.0000 0.0000
0.0000 10.6117 0.0000
0.0000 0.0000 3.7547
Al Cu Ag
4 10 2
direct
0.2370 0.1289 0.0000
0.2630 0.6289 0.0000
0.7370 0.3711 0.0000
0.7630 0.8711 0.0000
0.0000 0.0000 0.5000
0.0068 0.7549 0.5000
0.2459 0.8706 0.0000
0.2541 0.3706 0.0000
0.4932 0.2549 0.5000
0.5000 0.5000 0.5000
0.5068 0.7451 0.5000
0.7459 0.6294 0.0000
0.7541 0.1294 0.0000
0.9932 0.2451 0.5000
0.0000 0.5000 0.5000
0.5000 0.0000 0.5000
```

Calculated values
As for the space group: Pbam, No. 55. The calculated volume is 212.9 Å³/cell.

=====

12.
A geometry-optimized Al2CuAg structure, computed with PBE.

```
Al2CuAg
1.0
2.8188 -4.4010 0.0000
2.8188 4.4010 0.0000
-1.3641 0.0000 2.5251
Al Cu Ag
2 1 1
direct
0.0000 0.5000 0.0000
0.5000 0.0000 0.0000
0.0000 0.0000 0.5000
0.5000 0.5000 0.5000
```

Calculated values
As for the space group: C2/m, No. 12. The calculated volume is 62.7 Å³/cell.

=====

Number 1: DFT formation energy -64 meV per atom. Number 2: DFT formation energy 90 meV per atom. Number 3: DFT formation energy -52 meV per atom. Number 4: DFT formation energy 230 meV per atom. Number 5: DFT formation energy 660 meV per atom. Number 6: DFT formation energy -92 meV per atom. Number 7: DFT formation energy 96 meV per atom. Number 8: DFT formation energy -48 meV per atom. Number 9: DFT formation energy -137 meV per atom. Number 10: DFT formation energy -62 meV per atom. Number 11: DFT formation energy -126 meV per atom. Number 12: DFT formation energy 19 meV per atom.